(1)
{
  "formula": "Ho8GaTe4S3",
  "functional": "PBE-GGA",
  "state": "relaxed",
  "lattice_angstrom": [[8.175, 0.000, 0.000], [0.000, 8.449, 0.189], [-4.088, -4.084, 5.783]],
  "species": ["Ho", "Ho", "Ho", "Ho", "Ho", "Ho", "Ho", "Ho", "Ga", "Te", "Te", "Te", "Te", "S", "S", "S"],
  "frac_coords": [[0.237, 0.712, 0.974], [0.237, 0.712, 0.475], [0.265, 0.296, 0.531], [0.737, 0.712, 0.974], [0.263, 0.288, 0.026], [0.735, 0.704, 0.469], [0.763, 0.288, 0.525], [0.763, 0.288, 0.026], [0.000, 0.500, 0.000], [0.500, 0.000, 0.000], [0.500, 0.000, 0.500], [0.000, 0.000, 0.000], [0.000, 0.000, 0.500], [0.500, 0.500, 0.000], [0.500, 0.500, 0.500], [0.000, 0.500, 0.500]],
  "e_tot_ev_per_atom": -5.5135,
  "e_form_raw_ev_per_fu": -23.62
}



(2)
{
  "formula": "Ho2MgZr3N6",
  "functional": "PBE-GGA",
  "state": "relaxed",
  "lattice_angstrom": [[-2.701, 1.845, 0.430], [-2.459, -4.565, 4.138], [5.070, 3.516, 4.106]],
  "species": ["Ho", "Ho", "Mg", "Zr", "Zr", "Zr", "N", "N", "N", "N", "N", "N"],
  "frac_coords": [[0.836, 0.672, 0.672], [0.164, 0.328, 0.328], [0.500, 0.000, 0.000], [0.500, 0.500, 0.000], [0.837, 0.166, 0.673], [0.163, 0.834, 0.327], [0.333, 0.928, 0.666], [0.663, 0.591, 0.325], [0.667, 0.072, 0.334], [0.996, 0.253, 0.993], [0.004, 0.747, 0.007], [0.337, 0.409, 0.675]],
  "e_tot_ev_per_atom": -8.7947,
  "e_form_raw_ev_per_fu": -19.19
}



(3)
{
  "formula": "Si2MoAu",
  "functional": "PBE-GGA",
  "state": "relaxed",
  "lattice_angstrom": [[-2.344, -0.784, -2.334], [2.438, -0.285, -2.352], [0.541, -5.142, 1.184]],
  "species": ["Au", "Mo", "Si", "Si"],
  "frac_coords": [[0.000, 0.000, 0.459], [0.500, 0.500, 0.799], [0.000, 0.000, 0.974], [0.500, 0.500, 0.267]],
  "de_polymorph_kj_per_mol_atoms": 0.0,
  "e_tot_ev_per_atom": -6.3022,
  "e_form_raw_ev_per_fu": -0.25
}



(4)
{
  "formula": "ThNiH",
  "functional": "PBE-GGA",
  "state": "relaxed",
  "lattice_angstrom": [[-3.793, 2.268, 0.807], [-0.779, -2.238, 2.627], [5.664, 6.808, 7.481]],
  "species": ["Th", "Th", "Th", "Th", "Ni", "Ni", "Ni", "Ni", "H", "H", "H", "H"],
  "frac_coords": [[0.750, 0.500, 0.140], [0.750, 0.000, 0.640], [0.250, 0.500, 0.860], [0.250, 0.000, 0.360], [0.750, 0.500, 0.431], [0.750, 0.000, 0.931], [0.250, 0.000, 0.069], [0.250, 0.500, 0.569], [0.750, 0.000, 0.425], [0.750, 0.500, 0.925], [0.250, 0.500, 0.075], [0.250, 0.000, 0.575]],
  "de_polymorph_kj_per_mol_atoms": 6.4,
  "e_tot_ev_per_atom": -5.9008
}